# 1
# PBE NaLaSe2N, optimized geometry
# - Distance to the lowest polymorph of the same formula: 0 meV/atom
data_NaLaSe2N
_symmetry_space_group_name_H-M 'P 1'
_symmetry_Int_Tables_number 1
_symmetry_space_group_name_Hall 'P 1'
_cell_length_a 6.004
_cell_length_b 6.004
_cell_length_c 4.327
_cell_angle_alpha 90.00
_cell_angle_beta 90.00
_cell_angle_gamma 90.00
loop_
_atom_site_label
_atom_site_fract_x
_atom_site_fract_y
_atom_site_fract_z
N1 0.000 0.000 0.500
Na1 0.500 0.500 0.500
La1 0.000 0.000 0.000
Se1 0.500 0.000 0.000
Se2 0.000 0.500 0.000



# 2
## NaLa2SiN (PBE)

Data for a geometry-optimized NaLa2SiN structure.

The structure in CIF format:
```
data_NaLa2SiN
_symmetry_space_group_name_H-M 'P 1'
_symmetry_Int_Tables_number 1
_symmetry_space_group_name_Hall 'P 1'
_cell_length_a 5.014
_cell_length_b 5.014
_cell_length_c 4.631
_cell_angle_alpha 90.00
_cell_angle_beta 90.00
_cell_angle_gamma 90.00
loop_
_atom_site_label
_atom_site_fract_x
_atom_site_fract_y
_atom_site_fract_z
N1 0.000 0.000 0.000
Na1 0.000 0.000 0.500
La1 0.000 0.500 0.000
La2 0.500 0.000 0.000
Si1 0.500 0.500 0.500
```



# 3
## NaLa2SnN (PBE)

Data for a geometry-optimized NaLa2SnN structure.

The structure in CIF format:
```
data_NaLa2SnN
_symmetry_space_group_name_H-M 'P 1'
_symmetry_Int_Tables_number 1
_symmetry_space_group_name_Hall 'P 1'
_cell_length_a 5.073
_cell_length_b 5.073
_cell_length_c 4.871
_cell_angle_alpha 90.00
_cell_angle_beta 90.00
_cell_angle_gamma 90.00
loop_
_atom_site_label
_atom_site_fract_x
_atom_site_fract_y
_atom_site_fract_z
La1 0.000 0.500 0.000
La2 0.500 0.000 0.000
N1 0.000 0.000 0.000
Sn1 0.500 0.500 0.500
Na1 0.000 0.000 0.500
```



# 4
## NaSrLa2N (PBE)

Data for a geometry-optimized NaSrLa2N structure.

The structure in CIF format:
```
data_NaSrLa2N
_symmetry_space_group_name_H-M 'P 1'
_symmetry_Int_Tables_number 1
_symmetry_space_group_name_Hall 'P 1'
_cell_length_a 5.097
_cell_length_b 5.097
_cell_length_c 5.954
_cell_angle_alpha 90.00
_cell_angle_beta 90.00
_cell_angle_gamma 90.00
loop_
_atom_site_label
_atom_site_fract_x
_atom_site_fract_y
_atom_site_fract_z
La1 0.500 0.000 0.000
Na1 0.500 0.500 0.500
N1 0.000 0.000 0.000
La2 0.000 0.500 0.000
Sr1 0.000 0.000 0.500
```



# 5
## NaLaTa4N8 (PBE)

Data for a geometry-optimized NaLaTa4N8 structure.

The structure in CIF format:
```
data_NaLaTa4N8
_symmetry_space_group_name_H-M 'P 1'
_symmetry_Int_Tables_number 1
_symmetry_space_group_name_Hall 'P 1'
_cell_length_a 6.361
_cell_length_b 6.361
_cell_length_c 6.590
_cell_angle_alpha 61.14
_cell_angle_beta 61.14
_cell_angle_gamma 60.00
loop_
_atom_site_label
_atom_site_fract_x
_atom_site_fract_y
_atom_site_fract_z
N1 0.735 0.251 0.280
N2 0.232 0.232 0.303
Ta1 0.484 0.003 0.510
N3 0.810 0.248 0.693
N4 0.251 0.735 0.280
Ta2 0.003 0.003 0.510
N5 0.248 0.248 0.693
N6 0.759 0.759 0.724
Ta3 0.003 0.484 0.510
Na1 0.996 0.996 0.012
N7 0.735 0.735 0.280
Ta4 0.622 0.622 0.135
N8 0.248 0.810 0.693
La1 0.375 0.375 0.876
```



# 6
## NaLa2Tc2N6 (PBE)

Data for a geometry-optimized NaLa2Tc2N6 structure.

The structure in CIF format:
```
data_NaLa2Tc2N6
_symmetry_space_group_name_H-M 'P 1'
_symmetry_Int_Tables_number 1
_symmetry_space_group_name_Hall 'P 1'
_cell_length_a 6.642
_cell_length_b 6.041
_cell_length_c 6.148
_cell_angle_alpha 120.66
_cell_angle_beta 90.05
_cell_angle_gamma 71.10
loop_
_atom_site_label
_atom_site_fract_x
_atom_site_fract_y
_atom_site_fract_z
La1 0.253 0.462 0.169
N1 0.716 0.203 0.390
Tc1 0.813 0.210 0.127
Na1 0.500 0.000 0.500
N2 0.875 0.513 0.210
N3 0.284 0.797 0.610
Tc2 0.187 0.790 0.873
N4 0.125 0.487 0.790
N5 0.635 0.189 0.902
N6 0.365 0.811 0.098
La2 0.747 0.538 0.831
```



# 7
## Na2LaTcN4 (PBE)

Data for a geometry-optimized Na2LaTcN4 structure.

The structure in CIF format:
```
data_Na2LaTcN4
_symmetry_space_group_name_H-M 'P 1'
_symmetry_Int_Tables_number 1
_symmetry_space_group_name_Hall 'P 1'
_cell_length_a 5.632
_cell_length_b 6.829
_cell_length_c 7.168
_cell_angle_alpha 90.00
_cell_angle_beta 90.00
_cell_angle_gamma 90.00
loop_
_atom_site_label
_atom_site_fract_x
_atom_site_fract_y
_atom_site_fract_z
N1 0.326 0.191 0.000
Tc1 0.004 0.182 0.000
Tc2 0.504 0.818 0.500
N2 0.900 0.300 0.215
N3 0.900 0.300 0.785
N4 0.400 0.700 0.715
N5 0.935 0.919 0.000
Na1 0.981 0.646 0.758
N6 0.826 0.809 0.500
Na2 0.481 0.354 0.742
La1 0.472 0.878 0.000
N7 0.435 0.081 0.500
Na3 0.981 0.646 0.242
N8 0.400 0.700 0.285
Na4 0.481 0.354 0.258
La2 0.972 0.122 0.500
```



# 8
## NaLa2TcN (PBE)

Data for a geometry-optimized NaLa2TcN structure.

The structure in CIF format:
```
data_NaLa2TcN
_symmetry_space_group_name_H-M 'P 1'
_symmetry_Int_Tables_number 1
_symmetry_space_group_name_Hall 'P 1'
_cell_length_a 5.349
_cell_length_b 5.349
_cell_length_c 3.956
_cell_angle_alpha 90.00
_cell_angle_beta 90.00
_cell_angle_gamma 90.00
loop_
_atom_site_label
_atom_site_fract_x
_atom_site_fract_y
_atom_site_fract_z
N1 0.000 0.000 0.000
Na1 0.500 0.500 0.500
Tc1 0.000 0.000 0.500
La1 0.000 0.500 0.000
La2 0.500 0.000 0.000
```



# 9
## NaLaTcN3 (PBE)

Data for a geometry-optimized NaLaTcN3 structure.

The structure in CIF format:
```
data_NaLaTcN3
_symmetry_space_group_name_H-M 'P 1'
_symmetry_Int_Tables_number 1
_symmetry_space_group_name_Hall 'P 1'
_cell_length_a 3.931
_cell_length_b 7.464
_cell_length_c 6.718
_cell_angle_alpha 116.73
_cell_angle_beta 90.00
_cell_angle_gamma 105.26
loop_
_atom_site_label
_atom_site_fract_x
_atom_site_fract_y
_atom_site_fract_z
N1 0.500 0.000 0.695
Tc1 0.000 0.000 0.306
Na1 0.611 0.223 0.111
N2 0.500 0.000 0.305
La1 0.314 0.628 0.314
N3 0.147 0.296 0.910
N4 0.853 0.705 0.615
N5 0.147 0.295 0.385
Tc2 0.000 0.000 0.694
La2 0.686 0.372 0.686
Na2 0.389 0.777 0.889
N6 0.853 0.704 0.090
```



# 10
# PBE NaLaTeN2, optimized geometry
# - Distance to the lowest polymorph of the same formula: 0 meV/atom
data_NaLaTeN2
_symmetry_space_group_name_H-M 'P 1'
_symmetry_Int_Tables_number 1
_symmetry_space_group_name_Hall 'P 1'
_cell_length_a 4.477
_cell_length_b 4.477
_cell_length_c 6.754
_cell_angle_alpha 90.00
_cell_angle_beta 90.00
_cell_angle_gamma 90.00
loop_
_atom_site_label
_atom_site_fract_x
_atom_site_fract_y
_atom_site_fract_z
N1 0.500 0.000 0.000
La1 0.000 0.000 0.000
Na1 0.500 0.500 0.500
N2 0.000 0.500 0.000
Te1 0.000 0.000 0.500



# 11
# PBE NaLaTeN2, optimized geometry
# - Distance to the lowest polymorph of the same formula: 433 meV/atom
data_NaLaTeN2
_symmetry_space_group_name_H-M 'P 1'
_symmetry_Int_Tables_number 1
_symmetry_space_group_name_Hall 'P 1'
_cell_length_a 4.587
_cell_length_b 4.587
_cell_length_c 5.343
_cell_angle_alpha 90.00
_cell_angle_beta 90.00
_cell_angle_gamma 90.00
loop_
_atom_site_label
_atom_site_fract_x
_atom_site_fract_y
_atom_site_fract_z
Na1 0.000 0.000 0.000
N1 0.000 0.500 0.000
N2 0.500 0.000 0.000
La1 0.500 0.500 0.500
Te1 0.000 0.000 0.500



# 12
## NaLa2TlN (PBE)

Data for a geometry-optimized NaLa2TlN structure.

The structure in CIF format:
```
data_NaLa2TlN
_symmetry_space_group_name_H-M 'P 1'
_symmetry_Int_Tables_number 1
_symmetry_space_group_name_Hall 'P 1'
_cell_length_a 5.061
_cell_length_b 5.061
_cell_length_c 4.975
_cell_angle_alpha 90.00
_cell_angle_beta 90.00
_cell_angle_gamma 90.00
loop_
_atom_site_label
_atom_site_fract_x
_atom_site_fract_y
_atom_site_fract_z
La1 0.000 0.500 0.000
N1 0.000 0.000 0.000
Tl1 0.500 0.500 0.500
Na1 0.000 0.000 0.500
La2 0.500 0.000 0.000
```



Here are the calculated energy relative to the elements, uncorrected numbers, same order: -1.2; -3.3; -4.1; -1.7; -13.2; -5.8; -4.2; -1.8; -2.6; 2.3; 4.4; -2.9 (eV per formula unit).